16
Lattice="-0.398 5.640 3.508 -8.172 -2.723 3.451 4.993 -4.697 8.116" Properties=species:S:1:pos:R:3 comment="Ba3GaSe4 | Alexandria via LeMat-Bulk | PBE | optimized geometry" vol_a3_per_cell=656 e_tot_ev_per_fu=-34.40 spacegroup="Pmn2_1, No. 31" mass_density_g_cm3=4.0 pbc="T T T"
Ba -7.231 0.831 4.929
Ba -4.278 -2.590 4.478
Ba -1.647 1.052 5.230
Ba 1.307 -2.390 4.765
Ba 0.755 -1.207 9.135
Ba -1.687 -5.027 8.689
Ga -1.462 -0.456 0.636
Ga -4.417 -1.735 8.666
Se -7.252 -2.048 3.276
Se -1.784 3.002 2.835
Se -1.465 -1.550 3.175
Se -4.463 0.057 6.561
Se -4.189 -3.866 7.292
Se 1.326 0.517 6.436
Se -2.187 -2.084 10.262
Se 1.251 -4.105 7.590